A plane-wave DFT calculation with GGA-PBE was carried out for a relaxed KLiCr2 crystal.

a = 5.786 Å, b = 5.786 Å, c = 3.236 Å
α = 90.00°, β = 90.00°, γ = 90.00°
Site moments in Bohr magnetons follow the coordinates.
Element x y z (fractional)
K  0.500  0.000  0.500  0.06
Li  0.000  0.500  0.500  -0.01
Cr  0.500  0.500  0.000  4.14
Cr  0.000  0.000  0.000  4.14

Output
- theoretical density (g cm⁻³) = 2.30
- energy above the lowest structure with this stoichiometry (meV/atom) = 595
- Fermi-level density of states (states/eV per cell) = 1.5
- energy (eV per atom) = -4.35
- E_form (eV/atom) = 1.211


A plane-wave DFT calculation with GGA-PBE was carried out for a relaxed CaLaPuN3 crystal.

a = 3.586 Å, b = 8.837 Å, c = 6.157 Å
α = 89.98°, β = 90.00°, γ = 90.00°
Site moments in Bohr magnetons follow the coordinates.
Element x y z (fractional)
N  0.250  0.869  0.414  -0.20
N  0.250  0.501  0.738  -0.01
N  0.250  0.133  0.080  -0.20
N  0.750  0.499  0.262  -0.01
Ca  0.750  0.336  0.915  0.01
La  0.250  0.336  0.409  0.04
N  0.750  0.867  0.920  -0.20
Pu  0.250  0.003  0.753  4.28
Pu  0.750  0.997  0.247  4.28
Ca  0.250  0.664  0.085  0.01
La  0.750  0.664  0.591  0.04
N  0.750  0.131  0.586  -0.20

Output
- theoretical density (g cm⁻³) = 7.92
- Fermi-level density of states (states/eV per cell) = 13.6
- formation energy (no corrections) (eV/atom) = -1.212
- energy (eV per atom) = -8.92